AcNp2F8, optimized geometry, DFT GGA-PBE; M_tot = 9.0 μB per formula unit; space-group type = Immm, No. 71; VASP energy = -83.22 eV for the cell shown; E_form (uncorrected) = -3.478 eV/atom
1.0
3.7928 0.0000 -1.1543
-0.9971 5.7684 -3.2762
0.0736 0.1161 7.0501
F Np Ac
8 2 1
direct
0.3378 0.1128 0.6757
0.6622 0.4371 0.3243
0.6622 0.8872 0.3243
0.8554 0.8554 0.7108
0.1446 0.1446 0.2892
0.0000 0.6973 0.0000
0.0000 0.3027 0.0000
0.3378 0.5629 0.6757
0.8214 0.3214 0.6427
0.1786 0.6786 0.3573
0.5000 0.0000 0.0000



AcNp2F11, optimized geometry, DFT GGA-PBE; M_tot = 6.0 μB per formula unit; space-group type = Ibam, No. 72; VASP energy = -204.37 eV for the cell shown; E_form (uncorrected) = -3.686 eV/atom
1.0
-5.2531 5.2488 4.1578
-4.8535 -3.3650 6.8264
2.9500 3.8033 7.6362
F Np Ac
22 4 2
direct
0.0992 0.5593 0.7010
0.6405 0.7010 0.5593
0.9547 0.8231 0.4498
0.4008 0.7990 0.9407
0.5453 0.0502 0.6769
0.7276 0.6769 0.0502
0.5992 0.2010 0.0593
0.0000 0.0000 0.0000
0.3692 0.7185 0.2815
0.7724 0.4498 0.8231
0.3595 0.2990 0.4407
0.2724 0.3231 0.9498
0.1308 0.2184 0.7815
0.9008 0.4407 0.2990
0.8595 0.9407 0.7990
0.4547 0.9498 0.3231
0.6308 0.2816 0.7184
0.0453 0.1769 0.5502
0.8692 0.7816 0.2185
0.5000 0.5000 0.5000
0.2276 0.5502 0.1769
0.1405 0.0593 0.2010
0.1470 0.8201 0.1799
0.3530 0.3201 0.6799
0.8530 0.1799 0.8201
0.6470 0.6799 0.3201
0.2500 0.2500 0.2500
0.7500 0.7500 0.7500



AcNpF6, optimized geometry, DFT GGA-PBE; M_tot = 4.0 μB per formula unit; space-group type = P-1, No. 2; VASP energy = -58.23 eV for the cell shown; E_form (uncorrected) = -3.744 eV/atom
1.0
-1.6237 -0.0816 6.0129
-2.7305 -5.0571 2.4128
3.6775 -3.8297 4.1599
F Ac Np
6 1 1
direct
0.8464 0.6674 0.2433
0.7564 0.1537 0.7570
0.1536 0.3326 0.7567
0.3322 0.7568 0.7570
0.6678 0.2432 0.2430
0.2436 0.8463 0.2430
0.5000 0.5000 0.5000
0.0000 0.0000 0.0000



Ac2NpO3F3, optimized geometry, DFT GGA-PBE; M_tot = 3.9 μB per formula unit; space-group type = P-62m, No. 189; VASP energy = -71.86 eV for the cell shown; E_form (uncorrected) = -3.357 eV/atom
1.0
-0.5097 -2.5322 2.7273
-3.2938 -3.7986 -4.1426
6.4539 -0.6586 0.5947
F Ac O Np
3 2 3 1
direct
0.0000 0.5973 0.5973
0.0000 0.0000 0.4027
0.0000 0.4027 0.0000
0.5000 0.6667 0.3333
0.5000 0.3333 0.6667
0.5000 0.0000 0.7407
0.5000 0.7407 0.0000
0.5000 0.2593 0.2593
0.0000 0.0000 0.0000



Ac2OF, optimized geometry, DFT GGA-PBE; M_tot = 0.0 μB per formula unit; space-group type = P4/mmm, No. 123; VASP energy = -21.76 eV for the cell shown; E_form (uncorrected) = -1.678 eV/atom
1.0
-2.6451 2.1691 -0.4621
-0.4864 -1.2691 -3.1730
-4.3684 -4.7773 2.5804
F O Ac
1 1 2
direct
0.5000 0.5000 0.5000
0.5000 0.5000 0.0000
0.0000 0.0000 0.2361
0.0000 0.0000 0.7639



AcO2F, optimized geometry, DFT GGA-PBE; M_tot = 0.0 μB per formula unit; space-group type = P4/mmm, No. 123; VASP energy = -26.20 eV for the cell shown; E_form (uncorrected) = -2.576 eV/atom
1.0
-0.8429 3.5859 0.3286
-3.1861 -0.9000 1.6480
2.1870 0.1206 4.2940
Ac O F
1 2 1
direct
0.5000 0.5000 0.0000
0.0000 0.0000 0.1576
0.0000 0.0000 0.8424
0.5000 0.5000 0.5000



Ac2OF, optimized geometry, DFT GGA-PBE; M_tot = 0.0 μB per formula unit; space-group type = R-3m, No. 166; VASP energy = -24.63 eV for the cell shown; E_form (uncorrected) = -2.396 eV/atom
1.0
-1.9693 1.2817 3.0678
-3.8387 -0.4196 0.1449
-1.2062 -5.4055 3.9178
O Ac F
1 2 1
direct
0.0000 0.0000 0.0000
0.7434 0.7434 0.7699
0.2566 0.2566 0.2301
0.5000 0.5000 0.5000



AcOF4, optimized geometry, DFT GGA-PBE; M_tot = 1.0 μB per formula unit; space-group type = C2/c, No. 15; VASP energy = -62.95 eV for the cell shown; E_form (uncorrected) = -2.488 eV/atom
1.0
-0.4365 5.2703 -5.3794
6.6545 -3.3740 -1.0488
-3.1625 -2.9521 -0.7153
F Ac O
8 2 2
direct
0.5004 0.3930 0.7034
0.9167 0.1667 0.7917
0.3329 0.9403 0.8799
0.8133 0.7705 0.0417
0.4166 0.6667 0.2917
0.6434 0.2508 0.2038
0.0201 0.5629 0.5417
0.1899 0.0826 0.3795
0.5455 0.0384 0.5419
0.2878 0.2950 0.0414
0.6994 0.8836 0.0413
0.1339 0.4498 0.5419



no.,theoretical density (g/cm³)
1,9.06
2,5.64
3,4.99
4,9.57
5,9.78
6,7.00
7,9.80
8,5.14